Here is crystalline NbCd6O8 at its relaxed geometry from Alexandria. Energies are from PBE. Values from VASP.

```
&SYSTEM
  ibrav = 0, nat = 15, ntyp = 3
/
ATOMIC_SPECIES
Cd 112.41 Cd.upf
O 16.00 O.upf
Nb 92.91 Nb.upf
CELL_PARAMETERS angstrom
-3.7982 4.3217 -3.6067
-5.0557 3.3970 3.0020
0.5511 6.6877 1.0406
ATOMIC_POSITIONS crystal
Cd 0.0000 0.0000 0.5000
Cd 0.0000 0.5000 0.5000
Cd 0.5000 0.5000 0.0000
Cd 0.5000 0.0000 0.5000
Cd 0.5000 0.0000 0.0000
Cd 0.0000 0.5000 0.0000
O 0.2136 0.7864 0.2136
O 0.7500 0.7500 0.7500
O 0.2500 0.2500 0.2500
O 0.7864 0.7864 0.2136
O 0.7864 0.2136 0.2136
O 0.2136 0.2136 0.7864
O 0.7864 0.2136 0.7864
O 0.2136 0.7864 0.7864
Nb 0.0000 0.0000 0.0000
```

Properties
total magnetic moment	0.00	Bohr magnetons per cell
raw formation energy	-19.41	eV per formula unit
DOS(E_F)	0.117	states/eV/atom
uncorrected energy	-4.976	eV per atom